The following is a PBE-GGA calculation of an optimized crystal structure of Sc2Co, from OQMD.

Geometry as POSCAR:
```
Sc2Co
1.0
0.0000 3.8216 3.8216
3.8216 0.0000 3.8216
3.8216 3.8216 0.0000
Sc Co
4 2
Cartesian
0.0000 0.0000 0.0000
1.9108 1.9108 0.0000
1.9108 0.0000 1.9108
0.0000 1.9108 1.9108
2.8662 2.8662 2.8662
4.7770 4.7770 4.7770
```

Summary:
- Raw total energy: -34.841 eV per cell
- Space group: No. 227
- Crystal system: cubic
- Calculated density: 4.43 g cm⁻³
- Energy of formation: 0.781 eV per atom